TcAsSe2N: optimized geometry, PBE-GGA.

a b c (Å): 4.323 4.323 4.155
angles (deg): 90.00 90.00 90.00
Atoms (fractional coordinates):
1 Tc 0.000 0.000 0.000
2 As 0.500 0.500 0.000
3 Se 0.000 0.500 0.500
4 Se 0.500 0.000 0.500
5 N 0.500 0.500 0.500

Output
Energy above the lowest structure with this stoichiometry ... 632 meV/atom
N(E_F) ... 2.946 states/eV/cell
Formation energy without anion corrections ... 1.0479 eV/atom

Fe2NiRh: optimized geometry, PBE-GGA.

a b c (Å): 4.847 4.847 4.847
angles (deg): 144.59 129.44 63.23
Atoms (fractional coordinates):
1 Fe 0.000 0.000 0.000
2 Fe 0.761 0.261 0.500
3 Ni 0.239 0.739 0.500
4 Rh 0.507 0.507 0.000

Output
E_form ... 1.5 kJ per mole of atoms
N(E_F) ... 4.324 states/eV/cell

MnBe2Ru: optimized geometry, PBE-GGA.

a b c (Å): 4.859 4.859 4.859
angles (deg): 104.19 104.19 120.65
Atoms (fractional coordinates):
1 Mn 0.000 0.000 0.000
2 Mn 0.750 0.250 0.500
3 Be 0.117 0.625 0.992
4 Be 0.375 0.367 0.492
5 Be 0.633 0.125 0.008
6 Be 0.875 0.883 0.508
7 Ru 0.250 0.750 0.500
8 Ru 0.500 0.500 0.000

Output
E_form ... 30.7 kJ per mole of atoms
N(E_F) ... 7.699 states/eV/cell

NaFeBr3: optimized geometry, PBE-GGA.

a b c (Å): 9.358 9.358 7.238
angles (deg): 98.71 98.71 86.09
Atoms (fractional coordinates):
1 Na 0.097 0.903 0.750
2 Na 0.278 0.722 0.250
3 Na 0.722 0.278 0.750
4 Na 0.903 0.097 0.250
5 Fe 0.214 0.385 0.712
6 Fe 0.385 0.214 0.212
7 Fe 0.615 0.786 0.788
8 Fe 0.786 0.615 0.288
9 Br 0.029 0.206 0.643
10 Br 0.132 0.612 0.874
11 Br 0.206 0.029 0.143
12 Br 0.292 0.428 0.412
13 Br 0.388 0.868 0.626
14 Br 0.428 0.292 0.912
15 Br 0.572 0.708 0.088
16 Br 0.612 0.132 0.374
17 Br 0.708 0.572 0.588
18 Br 0.794 0.971 0.857
19 Br 0.868 0.388 0.126
20 Br 0.971 0.794 0.357

Output
Energy above the lowest structure with this stoichiometry ... 5 meV/atom
N(E_F) ... 22.495 states/eV/cell
Formation energy without anion corrections ... -0.8424 eV/atom

Among the records above, which one has the lowest N(E_F)?
TcAsSe2N